The following is a DFT calculation (PBE) of a geometry-optimized PaNbNO structure.

Energy relative to the lowest polymorph listed for this composition, eV per atom: 0.000
Volume, Å³ per atom: 13.36
Calculated density, g/cm3: 11.0
SG: P4/mmm

Cell: 3.392 3.392 4.644 Å, 90.00 90.00 90.00°
Fractional positions:
Pa: 0.000 0.000 0.000
Nb: 0.500 0.500 0.500
N: 0.500 0.500 0.000
O: 0.000 0.000 0.500

=====

The following is a DFT calculation (PBE) of a geometry-optimized PaNbNO structure.

Energy relative to the lowest polymorph listed for this composition, eV per atom: 0.011
Volume, Å³ per atom: 13.19
Calculated density, g/cm3: 11.1
SG: P4/nmm

Cell: 4.751 4.751 4.674 Å, 90.00 90.00 90.00°
Fractional positions:
Pa: 0.250 0.750 0.000
Pa: 0.750 0.250 0.000
Nb: 0.250 0.250 0.490
Nb: 0.750 0.750 0.510
N: 0.250 0.250 0.990
N: 0.750 0.750 0.010
O: 0.250 0.750 0.500
O: 0.750 0.250 0.500

=====

The following is a DFT calculation (PBE) of a geometry-optimized NbPbNO structure.

Energy relative to the lowest polymorph listed for this composition, eV per atom: 0.000
Volume, Å³ per atom: 19.87
Calculated density, g/cm3: 6.9
SG: Pmc2_1

Cell: 3.619 7.302 6.017 Å, 90.00 90.00 90.00°
Fractional positions:
Nb: 0.000 0.143 0.000
Nb: 0.000 0.857 0.500
Pb: 0.500 0.423 0.452
Pb: 0.500 0.577 0.952
N: 0.000 0.059 0.300
N: 0.000 0.941 0.800
O: 0.500 0.240 0.943
O: 0.500 0.760 0.443

=====

The following is a DFT calculation (PBE) of a geometry-optimized NbPbNO structure.

Energy relative to the lowest polymorph listed for this composition, eV per atom: 0.213
Volume, Å³ per atom: 18.28
Calculated density, g/cm3: 7.5
SG: P4/nmm

Cell: 4.011 4.011 9.087 Å, 90.00 90.00 90.00°
Fractional positions:
Nb: 0.250 0.750 0.000
Nb: 0.750 0.250 0.000
Pb: 0.250 0.250 0.368
Pb: 0.750 0.750 0.632
N: 0.250 0.250 0.929
N: 0.750 0.750 0.071
O: 0.250 0.750 0.500
O: 0.750 0.250 0.500

=====

The following is a DFT calculation (PBE) of a geometry-optimized NbPbNO structure.

Energy relative to the lowest polymorph listed for this composition, eV per atom: 0.008
Volume, Å³ per atom: 18.52
Calculated density, g/cm3: 7.4
SG: Pmc2_1

Cell: 3.461 7.344 5.830 Å, 90.00 90.00 90.00°
Fractional positions:
Nb: 0.000 0.177 0.000
Nb: 0.000 0.823 0.500
Pb: 0.500 0.360 0.487
Pb: 0.500 0.640 0.987
N: 0.500 0.306 0.977
N: 0.500 0.694 0.477
O: 0.000 0.003 0.253
O: 0.000 0.997 0.753

=====

The following is a DFT calculation (PBE) of a geometry-optimized NbPbNO structure.

Energy relative to the lowest polymorph listed for this composition, eV per atom: 0.180
Volume, Å³ per atom: 18.49
Calculated density, g/cm3: 7.4
SG: P4/nmm

Cell: 4.277 4.277 8.085 Å, 90.00 90.00 90.00°
Fractional positions:
Nb: 0.250 0.250 0.048
Nb: 0.750 0.750 0.952
Pb: 0.250 0.750 0.500
Pb: 0.750 0.250 0.500
N: 0.250 0.250 0.266
N: 0.750 0.750 0.734
O: 0.250 0.750 0.000
O: 0.750 0.250 0.000

=====

The following is a DFT calculation (PBE) of a geometry-optimized NbPdNO structure.

Energy relative to the lowest polymorph listed for this composition, eV per atom: 0.677
Volume, Å³ per atom: 11.02
Calculated density, g/cm3: 8.6
SG: P4/nmm

Cell: 3.441 3.441 7.449 Å, 90.00 90.00 90.00°
Fractional positions:
Nb: 0.250 0.250 0.178
Nb: 0.750 0.750 0.822
Pd: 0.250 0.750 0.500
Pd: 0.750 0.250 0.500
N: 0.250 0.250 0.740
N: 0.750 0.750 0.260
O: 0.250 0.750 0.000
O: 0.750 0.250 0.000

=====

The following is a DFT calculation (PBE) of a geometry-optimized NbPdNO structure.

Energy relative to the lowest polymorph listed for this composition, eV per atom: 0.153
Volume, Å³ per atom: 13.59
Calculated density, g/cm3: 7.0
SG: Pmc2_1

Cell: 3.390 5.728 5.599 Å, 90.00 90.00 90.00°
Fractional positions:
Nb: 0.000 0.155 0.000
Nb: 0.000 0.845 0.500
Pd: 0.500 0.253 0.595
Pd: 0.500 0.747 0.095
N: 0.000 0.156 0.362
N: 0.000 0.844 0.862
O: 0.500 0.339 0.979
O: 0.500 0.661 0.479

=====

The following is a DFT calculation (PBE) of a geometry-optimized NbPdNO structure.

Energy relative to the lowest polymorph listed for this composition, eV per atom: 0.000
Volume, Å³ per atom: 15.61
Calculated density, g/cm3: 6.1
SG: Pmc2_1

Cell: 3.482 6.551 5.473 Å, 90.00 90.00 90.00°
Fractional positions:
Nb: 0.000 0.189 0.000
Nb: 0.000 0.811 0.500
Pd: 0.500 0.484 0.586
Pd: 0.500 0.516 0.086
N: 0.500 0.267 0.852
N: 0.500 0.733 0.352
O: 0.000 0.069 0.315
O: 0.000 0.931 0.815

=====

The following is a DFT calculation (PBE) of a geometry-optimized NbPdNO structure.

Energy relative to the lowest polymorph listed for this composition, eV per atom: 0.455
Volume, Å³ per atom: 11.15
Calculated density, g/cm3: 8.5
SG: P4/nmm

Cell: 4.394 4.394 4.620 Å, 90.00 90.00 90.00°
Fractional positions:
Nb: 0.250 0.750 0.000
Nb: 0.750 0.250 0.000
Pd: 0.250 0.250 0.361
Pd: 0.750 0.750 0.639
N: 0.250 0.250 0.915
N: 0.750 0.750 0.085
O: 0.250 0.750 0.500
O: 0.750 0.250 0.500

=====

The following is a DFT calculation (PBE) of a geometry-optimized PmNbN2O structure.

Volume, Å³ per atom: 12.89
Calculated density, g/cm3: 7.3
SG: Pnma

Cell: 5.701 7.921 5.710 Å, 90.00 90.00 90.00°
Fractional positions:
Pm: 0.002 0.250 0.022
Pm: 0.498 0.750 0.522
Pm: 0.502 0.250 0.478
Pm: 0.998 0.750 0.978
Nb: 0.000 0.000 0.500
Nb: 0.000 0.500 0.500
Nb: 0.500 0.000 0.000
Nb: 0.500 0.500 0.000
N: 0.248 0.559 0.752
N: 0.248 0.941 0.752
N: 0.252 0.059 0.252
N: 0.252 0.441 0.252
N: 0.748 0.559 0.748
N: 0.748 0.941 0.748
N: 0.752 0.059 0.248
N: 0.752 0.441 0.248
O: 0.002 0.750 0.393
O: 0.498 0.250 0.893
O: 0.502 0.750 0.107
O: 0.998 0.250 0.607

=====

The following is a DFT calculation (PBE) of a geometry-optimized PmNbN2O structure.

Volume, Å³ per atom: 13.00
Calculated density, g/cm3: 7.2
SG: Ima2

Cell: 5.657 5.657 5.657 Å, 91.93 118.80 118.98°
Fractional positions:
Pm: 0.018 0.250 0.268
Pm: 0.982 0.750 0.732
Nb: 0.493 0.493 0.000
Nb: 0.493 0.993 0.500
N: 0.026 0.216 0.694
N: 0.026 0.832 0.310
N: 0.522 0.332 0.306
N: 0.522 0.716 0.690
O: 0.427 0.785 0.142
O: 0.644 0.285 0.858

=====

The following is a DFT calculation (PBE) of a geometry-optimized PmNbNO structure.

Energy relative to the lowest polymorph listed for this composition, eV per atom: 0.000
Volume, Å³ per atom: 16.96
Calculated density, g/cm3: 6.6
SG: P4/nmm

Cell: 4.038 4.038 8.320 Å, 90.00 90.00 90.00°
Fractional positions:
Pm: 0.250 0.250 0.135
Pm: 0.750 0.750 0.865
Nb: 0.250 0.750 0.500
Nb: 0.750 0.250 0.500
N: 0.250 0.250 0.580
N: 0.750 0.750 0.420
O: 0.250 0.750 0.000
O: 0.750 0.250 0.000

=====

The following is a DFT calculation (PBE) of a geometry-optimized PmNbN2O structure.

Volume, Å³ per atom: 13.53
Calculated density, g/cm3: 6.9
SG: P6_3/mmc

Cell: 5.746 5.746 14.190 Å, 90.00 90.00 120.00°
Fractional positions:
Pm: 0.000 0.000 0.250
Pm: 0.000 0.000 0.750
Pm: 0.333 0.667 0.118
Pm: 0.333 0.667 0.382
Pm: 0.667 0.333 0.618
Pm: 0.667 0.333 0.882
Nb: 0.000 0.000 0.000
Nb: 0.000 0.000 0.500
Nb: 0.333 0.667 0.646
Nb: 0.333 0.667 0.854
Nb: 0.667 0.333 0.146
Nb: 0.667 0.333 0.354
N: 0.159 0.318 0.591
N: 0.159 0.318 0.909
N: 0.159 0.841 0.591
N: 0.159 0.841 0.909
N: 0.318 0.159 0.091
N: 0.318 0.159 0.409
N: 0.682 0.841 0.591
N: 0.682 0.841 0.909
N: 0.841 0.159 0.091
N: 0.841 0.159 0.409
N: 0.841 0.682 0.091
N: 0.841 0.682 0.409
O: 0.014 0.507 0.250
O: 0.493 0.507 0.250
O: 0.493 0.986 0.250
O: 0.507 0.014 0.750
O: 0.507 0.493 0.750
O: 0.986 0.493 0.750

=====

The following is a DFT calculation (PBE) of a geometry-optimized PmNbN2O structure.

Volume, Å³ per atom: 12.77
Calculated density, g/cm3: 7.3
SG: C2/m

Cell: 5.560 5.560 5.683 Å, 118.96 118.96 90.31°
Fractional positions:
Pm: 0.248 0.248 0.005
Pm: 0.752 0.752 0.995
Nb: 0.000 0.500 0.500
Nb: 0.500 0.000 0.500
N: 0.237 0.763 0.000
N: 0.335 0.335 0.519
N: 0.665 0.665 0.481
N: 0.763 0.237 0.000
O: 0.172 0.828 0.500
O: 0.828 0.172 0.500

=====

The following is a DFT calculation (PBE) of a geometry-optimized PmNbN2O structure.

Volume, Å³ per atom: 13.81
Calculated density, g/cm3: 6.8
SG: P1

Cell: 5.537 5.619 5.997 Å, 91.83 116.24 119.48°
Fractional positions:
Pm: 0.000 0.000 0.000
Pm: 0.467 0.735 0.213
Nb: 0.055 0.548 0.545
Nb: 0.460 0.227 0.668
N: 0.205 0.382 0.383
N: 0.488 0.926 0.833
N: 0.913 0.546 0.840
N: 0.976 0.790 0.351
O: 0.303 0.343 0.863
O: 0.569 0.170 0.370

=====

The following is a DFT calculation (PBE) of a geometry-optimized PmNbNO structure.

Energy relative to the lowest polymorph listed for this composition, eV per atom: 0.135
Volume, Å³ per atom: 15.39
Calculated density, g/cm3: 7.2
SG: Pmc2_1

Cell: 3.823 6.922 4.653 Å, 90.00 90.00 90.00°
Fractional positions:
Pm: 0.000 0.169 0.000
Pm: 0.000 0.831 0.500
Nb: 0.500 0.356 0.501
Nb: 0.500 0.644 0.001
N: 0.500 0.357 0.001
N: 0.500 0.643 0.501
O: 0.000 0.188 0.499
O: 0.000 0.812 0.999

=====

The following is a DFT calculation (PBE) of a geometry-optimized PmNbN2O structure.

Volume, Å³ per atom: 13.02
Calculated density, g/cm3: 7.2
SG: P1

Cell: 7.997 8.004 8.137 Å, 88.66 89.95 89.87°
Fractional positions:
Pm: 0.000 0.000 0.000
Pm: 0.000 0.495 0.509
Pm: 0.005 0.990 0.521
Pm: 0.499 0.049 0.552
Pm: 0.499 0.541 0.560
Pm: 0.500 0.036 0.066
Pm: 0.501 0.556 0.053
Pm: 0.998 0.484 0.020
Nb: 0.236 0.754 0.779
Nb: 0.238 0.770 0.270
Nb: 0.256 0.280 0.272
Nb: 0.266 0.277 0.784
Nb: 0.744 0.262 0.775
Nb: 0.746 0.264 0.276
Nb: 0.753 0.784 0.276
Nb: 0.761 0.770 0.769
N: 0.003 0.832 0.255
N: 0.196 0.222 0.045
N: 0.202 0.519 0.248
N: 0.208 0.732 0.541
N: 0.293 0.303 0.546
N: 0.300 0.519 0.835
N: 0.304 0.814 0.041
N: 0.500 0.206 0.823
N: 0.503 0.307 0.239
N: 0.699 0.806 0.044
N: 0.703 0.018 0.335
N: 0.708 0.318 0.545
N: 0.797 0.719 0.541
N: 0.800 0.019 0.747
N: 0.804 0.234 0.044
N: 0.998 0.730 0.844
O: 0.003 0.233 0.361
O: 0.184 0.020 0.751
O: 0.313 0.015 0.334
O: 0.500 0.807 0.725
O: 0.506 0.696 0.320
O: 0.689 0.521 0.835
O: 0.818 0.516 0.252
O: 0.996 0.341 0.761

=====

The following is a DFT calculation (PBE) of a geometry-optimized PmNbN2O structure.

Volume, Å³ per atom: 13.06
Calculated density, g/cm3: 7.2
SG: P1

Cell: 5.677 5.696 9.827 Å, 73.40 73.45 60.54°
Fractional positions:
Pm: 0.000 0.000 0.000
Pm: 0.212 0.284 0.253
Pm: 0.500 0.500 0.493
Pm: 0.715 0.792 0.743
Nb: 0.122 0.139 0.632
Nb: 0.335 0.400 0.879
Nb: 0.592 0.669 0.124
Nb: 0.846 0.912 0.363
N: 0.025 0.529 0.026
N: 0.134 0.363 0.744
N: 0.215 0.716 0.220
N: 0.255 0.795 0.773
N: 0.472 0.980 0.960
N: 0.502 0.042 0.518
N: 0.637 0.855 0.246
N: 0.771 0.278 0.267
O: 0.079 0.888 0.501
O: 0.608 0.409 0.979
O: 0.702 0.234 0.703
O: 0.945 0.469 0.464

=====

The following is a DFT calculation (PBE) of a geometry-optimized PmNbN2O structure.

Volume, Å³ per atom: 13.84
Calculated density, g/cm3: 6.8
SG: Pm

Cell: 3.938 3.805 4.620 Å, 90.00 90.08 90.00°
Fractional positions:
Pm: 0.000 0.000 0.000
Nb: 0.499 0.500 0.448
N: 0.000 0.500 0.334
N: 0.499 0.500 0.851
O: 0.500 0.000 0.300

=====

no.,total energy (eV per atom)
1,-9.189
2,-9.178
3,-7.633
4,-7.421
5,-7.626
6,-7.453
7,-7.452
8,-7.976
9,-8.129
10,-7.675
11,-8.992
12,-9.006
13,-8.720
14,-8.845
15,-8.973
16,-8.957
17,-8.585
18,-9.051
19,-9.048
20,-8.954